1.
A relaxed Fe4OsAu crystal. Source: Alexandria via LeMat-Bulk, functional PBE-GGA.

Calculated values
Theoretical density: 13.2 g cm⁻³
Crystal system: cubic
Electronic total energy: -7.807 eV/atom

Lattice parameters (Å, degrees): 6.753 6.753 6.753 90.00 90.00 90.00
Space group F-43m (No. 216)
Unique sites:
Fe: 0.124 0.124 0.376
Os: 0.250 0.250 0.750
Au: 0.000 0.000 0.000


2.
A relaxed Sr3TlPd3 crystal. Source: Alexandria via LeMat-Bulk, functional PBE-GGA.

Calculated values
Theoretical density: 5.7 g cm⁻³
Crystal system: hexagonal
Electronic total energy: -3.656 eV/atom

Lattice parameters (Å, degrees): 9.3140 9.3140 6.1088 90.00 90.00 120.00
Space group P6_3/m (No. 176)
Unique sites:
Sr: 0.0511 0.3551 0.2500
Tl: 0.3333 0.6667 0.7500
Pd: 0.0470 0.3656 0.7500